--- P ---
Below is a relaxed structure of Be2FeMo, with properties calculated at the PBE-GGA level.

abc: 4.6074 4.6074 4.6074
angles: 144.24 127.91 64.80
Each line ends with the local moment (μB).
Sites, in units of the cell vectors:
Mo 0.7500 0.2500 0.5000  0.03
Be 0.4846 0.4846 0.0000  -0.01
Be 0.0154 0.0154 0.0000  -0.01
Fe 0.2500 0.7500 0.5000  0.46

N(E_F) (states/eV/cell): 2.89

***

--- Q ---
Below is a relaxed structure of Be2FeMo, with properties calculated at the PBE-GGA level.

abc: 8.1082 8.1082 8.1082
angles: 18.47 18.47 18.47
Each line ends with the local moment (μB).
Sites, in units of the cell vectors:
Be 0.5057 0.5057 0.5057  -0.03
Be 0.9943 0.9943 0.9943  -0.03
Mo 0.7500 0.7500 0.7500  0.14
Fe 0.2500 0.2500 0.2500  2.16

N(E_F) (states/eV/cell): 2.04

***

Of them, the most stable is P and the least stable is Q.

***

--- P ---
Below is a relaxed structure of Be2FeMo, with properties calculated at the PBE-GGA level.

abc: 2.6738 2.6733 5.9359
angles: 90.00 90.00 90.00
Each line ends with the local moment (μB).
Sites, in units of the cell vectors:
Mo 0.5000 0.5000 0.7500  0.13
Be 0.0000 0.0000 0.4596  -0.03
Be 0.0000 0.0000 0.0404  -0.03
Fe 0.5000 0.5000 0.2500  1.44

N(E_F) (states/eV/cell): 3.22

***

--- Q ---
Below is a relaxed structure of Be2FeMo, with properties calculated at the PBE-GGA level.

abc: 3.8939 3.8939 3.8939
angles: 60.00 60.00 60.00
Sites, in units of the cell vectors:
Be 0.7500 0.7500 0.7500
Be 0.2500 0.2500 0.2500
Mo 0.5000 0.5000 0.5000
Fe 0.0000 0.0000 0.0000

N(E_F) (states/eV/cell): 5.53

***

Of them, the most stable is P and the least stable is Q.

***

--- P ---
Below is a relaxed structure of Be2FePbN, with properties calculated at the PBE-GGA level.

abc: 3.6271 4.3742 3.6271
angles: 90.00 90.00 90.00
Sites, in units of the cell vectors:
Fe 0.0000 0.5000 0.0000
Pb 0.5000 0.5000 0.5000
N 0.0000 0.0000 0.0000
Be 0.5000 0.0000 0.0000
Be 0.0000 0.0000 0.5000

N(E_F) (states/eV/cell): 2.16

***

--- Q ---
Below is a relaxed structure of Be2FePbN, with properties calculated at the PBE-GGA level.

abc: 4.4337 3.4962 4.4337
angles: 90.00 90.00 90.00
Sites, in units of the cell vectors:
Be 0.0000 0.0000 0.5000
Be 0.5000 0.0000 0.0000
Pb 0.5000 0.5000 0.5000
Fe 0.0000 0.0000 0.0000
N 0.0000 0.5000 0.0000

N(E_F) (states/eV/cell): 4.83

***

Of them, the most stable is P and the least stable is Q.

***

--- P ---
Below is a relaxed structure of NaBeFe3, with properties calculated at the PBE-GGA level.

abc: 4.1191 4.1191 4.1191
angles: 90.00 90.00 90.00
Each line ends with the local moment (μB).
Sites, in units of the cell vectors:
Na 0.5000 0.5000 0.5000  -0.03
Fe 0.0000 0.0000 0.5000  2.69
Fe 0.5000 0.0000 0.0000  2.12
Fe 0.0000 0.5000 0.0000  2.62
Be 0.0000 0.0000 0.0000  -0.17

N(E_F) (states/eV/cell): 0.68

***

--- Q ---
Below is a relaxed structure of NaBeFe3, with properties calculated at the PBE-GGA level.

abc: 4.3425 4.3425 4.3425
angles: 90.00 90.00 90.00
Each line ends with the local moment (μB).
Sites, in units of the cell vectors:
Fe 0.0000 0.0000 0.5000  2.85
Fe 0.5000 0.0000 0.0000  2.61
Fe 0.0000 0.5000 0.0000  2.85
Na 0.0000 0.0000 0.0000  -0.04
Be 0.5000 0.5000 0.5000  -0.10

N(E_F) (states/eV/cell): 3.43

***

Of them, the most stable is P and the least stable is Q.

***

--- P ---
Below is a relaxed structure of NaBe3Fe, with properties calculated at the PBE-GGA level.

abc: 4.1289 4.1289 4.1289
angles: 90.00 90.00 90.00
Each line ends with the local moment (μB).
Sites, in units of the cell vectors:
Be 0.5000 0.0000 0.0000  -0.01
Be 0.0000 0.5000 0.0000  -0.01
Be 0.0000 0.0000 0.5000  -0.01
Na 0.5000 0.5000 0.5000  0.00
Fe 0.0000 0.0000 0.0000  0.12

N(E_F) (states/eV/cell): 2.41

***

--- Q ---
Below is a relaxed structure of NaBe3Fe, with properties calculated at the PBE-GGA level.

abc: 4.1181 4.1181 4.1181
angles: 90.00 90.00 90.00
Each line ends with the local moment (μB).
Sites, in units of the cell vectors:
Be 0.0000 0.5000 0.0000  -0.04
Be 0.0000 0.0000 0.5000  -0.04
Be 0.5000 0.0000 0.0000  -0.01
Na 0.0000 0.0000 0.0000  0.02
Fe 0.5000 0.5000 0.5000  2.85

N(E_F) (states/eV/cell): 1.33

***

Of them, the most stable is P and the least stable is Q.

***

--- P ---
Below is a relaxed structure of NaBe2Fe, with properties calculated at the PBE-GGA level.

abc: 4.2463 4.2463 8.2719
angles: 75.13 75.13 90.00
Each line ends with the local moment (μB).
Sites, in units of the cell vectors:
Be 0.8751 0.1250 0.2500  -0.09
Be 0.3750 0.1249 0.7500  -0.08
Be 0.8749 0.6250 0.2500  -0.09
Be 0.8750 0.1251 0.7500  -0.07
Fe 0.0000 0.0000 0.0000  2.17
Fe 0.7500 0.2500 0.5000  2.18
Na 0.2500 0.7500 0.5000  0.00
Na 0.5000 0.5000 0.0000  0.00

N(E_F) (states/eV/cell): 10.91

***

--- Q ---
Below is a relaxed structure of NaBe2Fe, with properties calculated at the PBE-GGA level.

abc: 4.1315 4.1315 4.1315
angles: 60.00 60.00 60.00
Each line ends with the local moment (μB).
Sites, in units of the cell vectors:
Be 0.7500 0.7500 0.7500  -0.07
Be 0.2500 0.2500 0.2500  -0.07
Fe 0.5000 0.5000 0.5000  2.36
Na 0.0000 0.0000 0.0000  -0.01

N(E_F) (states/eV/cell): 4.21

***

Of them, the most stable is Q and the least stable is P.

***

--- P ---
Below is a relaxed structure of BeNbFe, with properties calculated at the PBE-GGA level.

abc: 2.9093 2.9093 4.7939
angles: 107.66 107.66 90.00
Sites, in units of the cell vectors:
Fe 0.6950 0.6950 0.3901
Nb 0.0007 0.0007 0.0014
Be 0.3043 0.3043 0.6086

N(E_F) (states/eV/cell): 2.80

***

--- Q ---
Below is a relaxed structure of BeNbFe, with properties calculated at the PBE-GGA level.

abc: 4.6841 4.6841 4.6841
angles: 91.17 118.98 119.67
Each line ends with the local moment (μB).
Sites, in units of the cell vectors:
Be 0.5000 0.0000 0.5000  -0.03
Be 0.0000 0.5000 0.5000  -0.03
Fe 0.0000 0.5000 0.0000  1.12
Fe 0.5000 0.5000 0.5000  1.12
Nb 0.7500 0.8758 0.1258  -0.17
Nb 0.2500 0.1242 0.8742  -0.17

N(E_F) (states/eV/cell): 4.79

***

Of them, the most stable is Q and the least stable is P.

***

--- P ---
Below is a relaxed structure of BeNb3Fe, with properties calculated at the PBE-GGA level.

abc: 4.5541 4.5541 4.5541
angles: 90.00 90.00 90.00
Sites, in units of the cell vectors:
Be 0.5000 0.5000 0.5000
Nb 0.0000 0.5000 0.0000
Nb 0.0000 0.0000 0.5000
Nb 0.5000 0.0000 0.0000
Fe 0.0000 0.0000 0.0000

N(E_F) (states/eV/cell): 3.31

***

--- Q ---
Below is a relaxed structure of BeNb3Fe, with properties calculated at the PBE-GGA level.

abc: 4.3538 4.3538 4.3538
angles: 90.00 90.00 90.00
Sites, in units of the cell vectors:
Fe 0.5000 0.5000 0.5000
Be 0.0000 0.0000 0.0000
Nb 0.0000 0.0000 0.5000
Nb 0.0000 0.5000 0.0000
Nb 0.5000 0.0000 0.0000

N(E_F) (states/eV/cell): 10.80

***

Of them, the most stable is Q and the least stable is P.

***

--- P ---
Below is a relaxed structure of BeFe3Ni, with properties calculated at the PBE-GGA level.

abc: 3.8828 3.8828 3.8828
angles: 90.00 90.00 90.00
Each line ends with the local moment (μB).
Sites, in units of the cell vectors:
Fe 0.0000 0.5000 0.0000  2.50
Fe 0.5000 0.0000 0.0000  2.16
Fe 0.0000 0.0000 0.5000  2.59
Be 0.0000 0.0000 0.0000  -0.17
Ni 0.5000 0.5000 0.5000  0.85

N(E_F) (states/eV/cell): 3.29

***

--- Q ---
Below is a relaxed structure of BeFe3Ni, with properties calculated at the PBE-GGA level.

abc: 4.2836 4.2836 4.2836
angles: 90.00 90.00 90.00
Each line ends with the local moment (μB).
Sites, in units of the cell vectors:
Fe 0.0000 0.0000 0.5000  3.35
Fe 0.0000 0.5000 0.0000  3.01
Fe 0.5000 0.0000 0.0000  2.39
Ni 0.0000 0.0000 0.0000  0.91
Be 0.5000 0.5000 0.5000  -0.11

N(E_F) (states/eV/cell): 6.08

***

Of them, the most stable is P and the least stable is Q.

***

--- P ---
Below is a relaxed structure of Be4FeNi, with properties calculated at the PBE-GGA level.

abc: 2.2629 6.5640 3.7099
angles: 90.00 90.00 90.00
Sites, in units of the cell vectors:
Be 0.5000 0.6934 0.0000
Be 0.0000 0.8074 0.5000
Be 0.0000 0.1926 0.5000
Be 0.5000 0.3066 0.0000
Ni 0.5000 0.5000 0.5000
Fe 0.0000 0.0000 0.0000

N(E_F) (states/eV/cell): 3.08

***

--- Q ---
Below is a relaxed structure of Be4FeNi, with properties calculated at the PBE-GGA level.

abc: 4.1737 4.1737 4.1737
angles: 60.00 60.00 60.00
Each line ends with the local moment (μB).
Sites, in units of the cell vectors:
Fe 0.7500 0.7500 0.7500  1.88
Be 0.8726 0.3758 0.3758  -0.02
Be 0.3758 0.8726 0.3758  -0.02
Be 0.3758 0.3758 0.8726  -0.02
Be 0.3758 0.3758 0.3758  -0.02
Ni 0.0000 0.0000 0.0000  0.41

N(E_F) (states/eV/cell): 4.43

***

Of them, the most stable is Q and the least stable is P.

***

--- P ---
Below is a relaxed structure of BeFeNi5, with properties calculated at the PBE-GGA level.

abc: 4.7270 4.7270 7.9408
angles: 89.94 89.94 59.39
Each line ends with the local moment (μB).
Sites, in units of the cell vectors:
Ni 0.6560 0.9078 0.7498  0.39
Ni 0.3523 0.3518 0.0000  0.47
Ni 0.9078 0.6560 0.2498  0.39
Ni 0.6482 0.6477 0.5000  0.47
Ni 0.2317 0.7683 0.7500  0.45
Ni 0.7683 0.2317 0.2500  0.45
Ni 0.3440 0.0922 0.2502  0.39
Ni 0.3518 0.3523 0.5000  0.47
Ni 0.6477 0.6482 0.0000  0.47
Ni 0.0922 0.3440 0.7502  0.39
Be 0.3339 0.6661 0.2500  -0.05
Be 0.6661 0.3339 0.7500  -0.05
Fe 0.0000 0.0000 0.0000  2.88
Fe 0.0000 0.0000 0.5000  2.88

N(E_F) (states/eV/cell): 13.60

***

--- Q ---
Below is a relaxed structure of BeFeNi5, with properties calculated at the PBE-GGA level.

abc: 3.5673 3.5673 5.9793
angles: 90.00 90.00 90.00
Each line ends with the local moment (μB).
Sites, in units of the cell vectors:
Ni 0.0000 0.5000 0.2105  0.40
Ni 0.0000 0.5000 0.7895  0.40
Ni 0.5000 0.0000 0.7895  0.40
Ni 0.5000 0.0000 0.2105  0.40
Ni 0.5000 0.5000 0.5000  0.56
Fe 0.0000 0.0000 0.5000  2.77
Be 0.5000 0.5000 0.0000  -0.05

N(E_F) (states/eV/cell): 6.12

***

Of them, the most stable is Q and the least stable is P.